No. 1
ZnPtAu: optimized geometry, PBE.

CIF file:
```
data_ZnPtAu
_space_group_name_H-M_alt 'P 1 2/m 1'
_space_group_IT_number 10
_cell_length_a 4.735
_cell_length_b 2.933
_cell_length_c 6.887
_cell_angle_alpha 90.00
_cell_angle_beta 93.29
_cell_angle_gamma 90.00
loop_
_space_group_symop_operation_xyz
'x,y,z'
'-x,-y,-z'
'-x,y,-z'
'x,-y,z'
loop_
_atom_site_label
_atom_site_type_symbol
_atom_site_fract_x
_atom_site_fract_y
_atom_site_fract_z
_atom_site_occupancy
Zn1 Zn 0.194 0.000 0.339 1
Pt1 Pt 0.300 0.500 0.652 1
Au1 Au 0.000 0.500 0.000 1
Au2 Au 0.500 0.000 0.000 1
```

Output
- energy above the lowest structure with this stoichiometry (eV/atom) = 0.001
- ΔH_f (0 K) (eV per atom) = -0.31

No. 2
KRbCaI4: optimized geometry, PBE.

CIF file:
```
data_KRbCaI4
_space_group_name_H-M_alt 'I 4 m m'
_space_group_IT_number 107
_space_group_name_Hall 'I 4 -2'
_cell_length_a 6.154
_cell_length_b 6.154
_cell_length_c 18.311
_cell_angle_alpha 90.00
_cell_angle_beta 90.00
_cell_angle_gamma 90.00
loop_
_atom_site_label
_atom_site_type_symbol
_atom_site_fract_x
_atom_site_fract_y
_atom_site_fract_z
_atom_site_occupancy
K1 K 0.000 0.000 0.000 1
Rb1 Rb 0.000 0.000 0.276 1
Ca1 Ca 0.000 0.000 0.639 1
I1 I 0.000 0.000 0.471 1
I2 I 0.000 0.000 0.809 1
I3 I 0.000 0.500 0.137 1
```

Output
- formation energy from raw total energies (meV/atom) = -1498.7

No. 3
CuMo2S: optimized geometry, PBE.

CIF file:
```
data_CuMo2S
_space_group_name_H-M_alt 'I -4 2 d'
_space_group_IT_number 122
_space_group_name_Hall 'I -4 2bw'
_cell_length_a 3.673
_cell_length_b 3.673
_cell_length_c 18.183
_cell_angle_alpha 90.00
_cell_angle_beta 90.00
_cell_angle_gamma 90.00
loop_
_atom_site_label
_atom_site_type_symbol
_atom_site_fract_x
_atom_site_fract_y
_atom_site_fract_z
_atom_site_occupancy
Cu1 Cu 0.000 0.000 0.000 1
Mo1 Mo 0.249 0.250 0.125 1
S1 S 0.000 0.000 0.500 1
```

Output
- formation energy from raw total energies (meV/atom) = 469.6

No. 4
TaBe2Re: optimized geometry, PBE.

CIF file:
```
data_TaBe2Re
_space_group_name_H-M_alt 'P m m 2'
_space_group_IT_number 25
_cell_length_a 2.657
_cell_length_b 2.767
_cell_length_c 6.797
_cell_angle_alpha 90.00
_cell_angle_beta 90.00
_cell_angle_gamma 90.00
loop_
_space_group_symop_operation_xyz
'x,y,z'
'-x,-y,z'
'-x,y,z'
'x,-y,z'
loop_
_atom_site_label
_atom_site_type_symbol
_atom_site_fract_x
_atom_site_fract_y
_atom_site_fract_z
_atom_site_occupancy
Ta1 Ta 0.000 0.000 0.000 1
Be1 Be 0.000 0.000 0.420 1
Be2 Be 0.500 0.500 0.262 1
Re1 Re 0.500 0.500 0.658 1
```

Output
- energy above the lowest structure with this stoichiometry (eV/atom) = 0.459
- ΔH_f (0 K) (eV per atom) = 0.08

No. 5
SrGe3Au: optimized geometry, PBE.

CIF file:
```
data_SrGe3Au
_space_group_name_H-M_alt 'P m -3 m'
_space_group_IT_number 221
_space_group_name_Hall '-P 4 2 3'
_cell_length_a 5.630
_cell_length_b 5.630
_cell_length_c 5.630
_cell_angle_alpha 90.00
_cell_angle_beta 90.00
_cell_angle_gamma 90.00
loop_
_atom_site_label
_atom_site_type_symbol
_atom_site_fract_x
_atom_site_fract_y
_atom_site_fract_z
_atom_site_occupancy
Sr1 Sr 0.000 0.000 0.000 1
Ge1 Ge 0.000 0.000 0.500 1
Au1 Au 0.500 0.500 0.500 1
```

Output
- ΔH_f (0 K) (eV per atom) = 1.38

No. 6
TbHo2Ge2Pt7: optimized geometry, PBE.

CIF file:
```
data_TbHo2Ge2Pt7
_space_group_name_H-M_alt 'C 1 2/m 1'
_space_group_IT_number 12
_cell_length_a 5.763
_cell_length_b 5.702
_cell_length_c 14.073
_cell_angle_alpha 90.00
_cell_angle_beta 99.58
_cell_angle_gamma 90.00
loop_
_space_group_symop_operation_xyz
'x,y,z'
'-x,-y,-z'
'-x,y,-z'
'x,-y,z'
'x+1/2,y+1/2,z'
'-x+1/2,-y+1/2,-z'
'-x+1/2,y+1/2,-z'
'x+1/2,-y+1/2,z'
loop_
_atom_site_label
_atom_site_type_symbol
_atom_site_fract_x
_atom_site_fract_y
_atom_site_fract_z
_atom_site_occupancy
Tb1 Tb 0.000 0.000 0.000 1
Ho1 Ho 0.130 0.000 0.359 1
Ge1 Ge 0.107 0.500 0.260 1
Pt1 Pt 0.000 0.500 0.000 1
Pt2 Pt 0.142 0.500 0.434 1
Pt3 Pt 0.185 0.250 0.843 1
```

Output
- ΔH_f (0 K) (eV per atom) = -0.98

No. 7
Ba2ZnPt: optimized geometry, PBE.

CIF file:
```
data_Ba2ZnPt
_space_group_name_H-M_alt 'I -4 m 2'
_space_group_IT_number 119
_space_group_name_Hall 'I -4 -2'
_cell_length_a 4.668
_cell_length_b 4.668
_cell_length_c 11.422
_cell_angle_alpha 90.00
_cell_angle_beta 90.00
_cell_angle_gamma 90.00
loop_
_atom_site_label
_atom_site_type_symbol
_atom_site_fract_x
_atom_site_fract_y
_atom_site_fract_z
_atom_site_occupancy
Ba1 Ba 0.000 0.000 0.000 1
Ba2 Ba 0.000 0.500 0.250 1
Zn1 Zn 0.000 0.000 0.500 1
Pt1 Pt 0.000 0.500 0.750 1
```

Output
- ΔH_f (0 K) (eV per atom) = -0.21

No. 8
KCuOs3: optimized geometry, PBE.

CIF file:
```
data_KCuOs3
_space_group_name_H-M_alt 'P m -3 m'
_space_group_IT_number 221
_space_group_name_Hall '-P 4 2 3'
_cell_length_a 4.625
_cell_length_b 4.625
_cell_length_c 4.625
_cell_angle_alpha 90.00
_cell_angle_beta 90.00
_cell_angle_gamma 90.00
loop_
_atom_site_label
_atom_site_type_symbol
_atom_site_fract_x
_atom_site_fract_y
_atom_site_fract_z
_atom_site_occupancy
K1 K 0.000 0.000 0.000 1
Cu1 Cu 0.500 0.500 0.500 1
Os1 Os 0.000 0.500 0.500 1
```

Output
- energy above the lowest structure with this stoichiometry (eV/atom) = 0.000
- ΔH_f (0 K) (eV per atom) = 2.31

No. 9
PmTlBiSb: optimized geometry, PBE.

CIF file:
```
data_PmTlBiSb
_space_group_name_H-M_alt 'F -4 3 m'
_space_group_IT_number 216
_space_group_name_Hall 'F -4 2 3'
_cell_length_a 7.883
_cell_length_b 7.883
_cell_length_c 7.883
_cell_angle_alpha 90.00
_cell_angle_beta 90.00
_cell_angle_gamma 90.00
loop_
_atom_site_label
_atom_site_type_symbol
_atom_site_fract_x
_atom_site_fract_y
_atom_site_fract_z
_atom_site_occupancy
Pm1 Pm 0.000 0.000 0.000 1
Tl1 Tl 0.000 0.000 0.500 1
Bi1 Bi 0.250 0.250 0.750 1
Sb1 Sb 0.250 0.250 0.250 1
```

Output
- formation energy from raw total energies (meV/atom) = -303.3

No. 10
TbTlInAu: optimized geometry, PBE.

CIF file:
```
data_TbTlInAu
_space_group_name_H-M_alt 'F -4 3 m'
_space_group_IT_number 216
_space_group_name_Hall 'F -4 2 3'
_cell_length_a 7.264
_cell_length_b 7.264
_cell_length_c 7.264
_cell_angle_alpha 90.00
_cell_angle_beta 90.00
_cell_angle_gamma 90.00
loop_
_atom_site_label
_atom_site_type_symbol
_atom_site_fract_x
_atom_site_fract_y
_atom_site_fract_z
_atom_site_occupancy
Tb1 Tb 0.000 0.000 0.000 1
Tl1 Tl 0.250 0.250 0.250 1
In1 In 0.000 0.000 0.500 1
Au1 Au 0.250 0.250 0.750 1
```

Output
- ΔH_f (0 K) (eV per atom) = -0.40

No. 11
ErReSi2Ru: optimized geometry, PBE.

CIF file:
```
data_ErReSi2Ru
_space_group_name_H-M_alt 'I -4 m 2'
_space_group_IT_number 119
_space_group_name_Hall 'I -4 -2'
_cell_length_a 4.176
_cell_length_b 4.176
_cell_length_c 9.703
_cell_angle_alpha 90.00
_cell_angle_beta 90.00
_cell_angle_gamma 90.00
loop_
_atom_site_label
_atom_site_type_symbol
_atom_site_fract_x
_atom_site_fract_y
_atom_site_fract_z
_atom_site_occupancy
Er1 Er 0.000 0.000 0.000 1
Re1 Re 0.000 0.500 0.250 1
Si1 Si 0.000 0.000 0.374 1
Ru1 Ru 0.000 0.500 0.750 1
```

Output
- formation energy from raw total energies (meV/atom) = -646.1

No. 12
Li6Cd: optimized geometry, PBE.

CIF file:
```
data_Li6Cd
_space_group_name_H-M_alt 'P 4/m m m'
_space_group_IT_number 123
_space_group_name_Hall '-P 4 2'
_cell_length_a 4.711
_cell_length_b 4.711
_cell_length_c 6.417
_cell_angle_alpha 90.00
_cell_angle_beta 90.00
_cell_angle_gamma 90.00
loop_
_atom_site_label
_atom_site_type_symbol
_atom_site_fract_x
_atom_site_fract_y
_atom_site_fract_z
_atom_site_occupancy
Li1 Li 0.000 0.000 0.000 1
Li2 Li 0.000 0.500 0.246 1
Li3 Li 0.500 0.500 0.500 1
Cd1 Cd 0.000 0.000 0.500 1
```

Output
- energy above the lowest structure with this stoichiometry (eV/atom) = 0.000
- ΔH_f (0 K) (eV per atom) = -0.02

Number 1: calculated volume 95.5 Å³/cell, theoretical density 15.912 Mg/m³. Number 2: calculated volume 693.4 Å³/cell, theoretical density 3.220 Mg/m³. Number 3: calculated volume 245.3 Å³/cell, theoretical density 7.784 Mg/m³. Number 4: calculated volume 50.0 Å³/cell, theoretical density 12.804 Mg/m³. Number 5: calculated volume 178.4 Å³/cell, theoretical density 4.676 Mg/m³. Number 6: calculated volume 456.0 Å³/cell, theoretical density 14.565 Mg/m³. Number 7: calculated volume 248.9 Å³/cell, theoretical density 7.141 Mg/m³. Number 8: calculated volume 98.9 Å³/cell, theoretical density 11.301 Mg/m³. Number 9: calculated volume 489.8 Å³/cell, theoretical density 9.223 Mg/m³. Number 10: calculated volume 383.3 Å³/cell, theoretical density 11.700 Mg/m³. Number 11: calculated volume 169.2 Å³/cell, theoretical density 10.024 Mg/m³. Number 12: calculated volume 142.4 Å³/cell, theoretical density 1.796 Mg/m³.